(1)
Density functional theory data (PBE) for Tl2Bi2Pd7Pb after structural relaxation.

Lattice parameters (Å, degrees): 4.035 4.035 16.062 80.17 80.17 89.07
Sites, in units of the cell vectors:
Pd 0.228 0.228 0.440
Pb 0.000 0.000 0.000
Tl 0.330 0.330 0.258
Bi 0.743 0.743 0.391
Pd 0.913 0.412 0.133
Pd 0.412 0.913 0.133
Pd 0.588 0.087 0.867
Pd 0.772 0.772 0.560
Bi 0.257 0.257 0.609
Tl 0.670 0.670 0.742
Pd 0.500 0.500 0.000
Pd 0.087 0.588 0.867

Results
Calculated formation energy: -14 kJ per mole of atoms
ρ: 11.64 g/cm³
Magnetization: 0.00 μB per formula unit

(2)
Density functional theory data (PBE) for Ba3In2Au after structural relaxation.

Lattice parameters (Å, degrees): 8.291 8.291 7.273 77.53 77.53 94.07
Sites, in units of the cell vectors:
Ba 0.949 0.726 0.068
In 0.979 0.355 0.418
In 0.021 0.645 0.582
Ba 0.726 0.949 0.568
In 0.355 0.979 0.918
Ba 0.051 0.274 0.932
In 0.645 0.021 0.082
Au 0.689 0.311 0.250
Ba 0.274 0.051 0.432
Ba 0.402 0.598 0.250
Au 0.311 0.689 0.750
Ba 0.598 0.402 0.750

Results
Calculated formation energy: -45 kJ per mole of atoms
ρ: 5.89 g/cm³
Magnetization: 0.00 μB per formula unit